Entry 1:
A plane-wave DFT calculation with GGA-PBE was carried out for crystalline K2CuAs at its relaxed geometry.

## Properties
Volume (A^3/atom): 43.41
Magnetic moment (Bohr magnetons per cell): 0.000
Formation energy from the elements (eV/atom): -0.172
Density (Mg/m³): 2.07
Total energy (Ha/atom): -0.107

Lattice parameters (Å, degrees): 12.455 12.455 4.477 90.00 90.00 90.00
Space group I-42d (No. 122)
One atom of each set of equivalent atoms:
K (0.002, 0.250, 0.125) x8
Cu (0.000, 0.000, 0.000) x4
As (0.000, 0.000, 0.500) x4


Entry 2:
A plane-wave DFT calculation with GGA-PBE was carried out for crystalline KCuAs2 at its relaxed geometry.

## Properties
Volume (A^3/atom): 20.92
Magnetic moment (Bohr magnetons per cell): 0.000
Relative energy among the computed polymorphs (meV per atom): 504
Formation energy from the elements (eV/atom): 0.365
Density (Mg/m³): 5.01
Total energy (Ha/atom): -0.120

Lattice parameters (Å, degrees): 4.310 4.310 4.506 90.00 90.00 90.00
Space group P4/mmm (No. 123)
One atom of each set of equivalent atoms:
K (0.000, 0.000, 0.000) x1
Cu (0.500, 0.500, 0.000) x1
As (0.000, 0.500, 0.500) x2


Entry 3:
A plane-wave DFT calculation with GGA-PBE was carried out for crystalline KCu2As at its relaxed geometry.

## Properties
Volume (A^3/atom): 20.57
Magnetic moment (Bohr magnetons per cell): 0.000
Formation energy from the elements (eV/atom): 0.228
Density (Mg/m³): 4.87
Total energy (Ha/atom): -0.120

Lattice parameters (Å, degrees): 2.912 5.597 10.098 90.00 90.00 90.00
Space group Imm2 (No. 44)
One atom of each set of equivalent atoms:
K (0.000, 0.000, 0.000) x2
Cu (0.000, 0.000, 0.517) x2
Cu (0.000, 0.500, 0.820) x2
As (0.000, 0.500, 0.208) x2


Entry 4:
A plane-wave DFT calculation with GGA-PBE was carried out for crystalline K2CuAs at its relaxed geometry.

## Properties
Volume (A^3/atom): 32.38
Magnetic moment (Bohr magnetons per cell): 0.000
Formation energy from the elements (eV/atom): 0.046
Density (Mg/m³): 2.78
Total energy (Ha/atom): -0.099

Lattice parameters (Å, degrees): 3.625 3.625 9.857 90.00 90.00 90.00
Space group P4mm (No. 99)
One atom of each set of equivalent atoms:
K (0.000, 0.000, 0.000) x1
K (0.500, 0.500, 0.417) x1
Cu (0.500, 0.500, 0.722) x1
As (0.000, 0.000, 0.677) x1


Entry 5:
A plane-wave DFT calculation with GGA-PBE was carried out for crystalline K2CuAs at its relaxed geometry.

## Properties
Volume (A^3/atom): 29.92
Magnetic moment (Bohr magnetons per cell): 0.429
Formation energy from the elements (eV/atom): 0.395
Density (Mg/m³): 3.01
Total energy (Ha/atom): -0.086

Lattice parameters (Å, degrees): 3.6804 3.6804 30.6124 90.00 90.00 120.00
Space group R-3m (No. 166, hexagonal axes)
One atom of each set of equivalent atoms:
K (0.0000, 0.0000, 0.2500) x6
Cu (0.0000, 0.0000, 0.0000) x3
As (0.0000, 0.0000, 0.5000) x3


Entry 6:
A plane-wave DFT calculation with GGA-PBE was carried out for crystalline KCuAs2 at its relaxed geometry.

## Properties
Volume (A^3/atom): 27.53
Magnetic moment (Bohr magnetons per cell): 0.000
Relative energy among the computed polymorphs (meV per atom): 0
Formation energy from the elements (eV/atom): -0.138
Density (Mg/m³): 3.81
Total energy (Ha/atom): -0.138

Lattice parameters (Å, degrees): 4.085 4.453 6.054 90.00 90.00 90.00
Space group Pmmm (No. 47)
One atom of each set of equivalent atoms:
K (0.000, 0.000, 0.000) x1
Cu (0.000, 0.500, 0.500) x1
As (0.500, 0.500, 0.296) x2


Entry 7:
A plane-wave DFT calculation with GGA-PBE was carried out for crystalline KCu2As at its relaxed geometry.

## Properties
Volume (A^3/atom): 19.41
Magnetic moment (Bohr magnetons per cell): 0.000
Formation energy from the elements (eV/atom): 0.545
Density (Mg/m³): 5.16
Total energy (Ha/atom): -0.108

Lattice parameters (Å, degrees): 6.393 8.773 2.769 90.00 90.00 90.00
Space group Cmmm (No. 65)
One atom of each set of equivalent atoms:
K (0.000, 0.000, 0.000) x2
Cu (0.250, 0.250, 0.500) x4
As (0.000, 0.500, 0.000) x2


Entry 8:
A plane-wave DFT calculation with GGA-PBE was carried out for crystalline KCu2As at its relaxed geometry.

## Properties
Volume (A^3/atom): 23.24
Magnetic moment (Bohr magnetons per cell): 0.000
Formation energy from the elements (eV/atom): -0.136
Density (Mg/m³): 4.31
Total energy (Ha/atom): -0.133

Lattice parameters (Å, degrees): 7.425 4.285 6.354 90.00 113.13 90.00
Space group C2/m (No. 12)
One atom of each set of equivalent atoms:
K (0.000, 0.000, 0.000) x2
Cu (0.180, 0.000, 0.540) x4
As (0.000, 0.500, 0.500) x2